Density functional theory data (PBE+U) for a relaxed structure of MgMnTl2O6.

```
MgMnTl2O6
1.0
2.7225 1.5718 4.6430
-2.7225 1.5718 4.6430
0.0000 -3.1437 4.6430
Mg Mn Tl O
1 1 2 6
Direct
0.0000 0.0000 0.0000
0.5055 0.5055 0.5055
0.2278 0.2278 0.2278
0.7307 0.7307 0.7307
0.1649 0.7583 0.3694
0.2868 0.6397 0.8498
0.3694 0.1649 0.7583
0.6397 0.8498 0.2868
0.7583 0.3694 0.1649
0.8498 0.2868 0.6397
```

Values from the calculation:
- DFT total energy (hartree per atom) = -0.206
- theoretical density (g/cm3) = 8.13